First-principles (PBE) data for a geometry-optimized Al2IrPtW structure, as listed in Alexandria.

Lattice parameters (Å, degrees): 4.4812 4.4812 5.0263 90.00 90.00 90.00
Closest atoms and distances in Å follow each position.
Element x y z (fractional)
Al 0.0000 0.5000 0.0000  2 Pt 2.24
Al 0.5000 0.0000 0.0000  2 Pt 2.24
Ir 0.0000 0.0000 0.5000  2 Pt 2.51
Pt 0.0000 0.0000 0.0000  4 Al 2.24
W 0.5000 0.5000 0.5000  4 Ir 3.17, 8 Al 3.37

Output
- ΔE_f: 1.150 eV/atom
- Spin magnetization: 3.351 μB per formula unit